# 1
A relaxed LiHoBeGa crystal. Source: Alexandria, functional PBE.

Computed properties:
Theoretical density ... 6.61 g/cm³
Magnetization ... 0.0 μB/f.u.
ΔH_f (0 K) ... -0.1676 eV per atom
Calculated volume ... 63 Å³/cell
Uncorrected energy ... -3.4788 eV/atom

a b c (Å): 4.466 4.466 4.466
angles (deg): 60.00 60.00 60.00
Sites, in units of the cell vectors:
Li1 0.000 0.000 0.000
Ho1 0.250 0.250 0.250
Be1 0.500 0.500 0.500
Ga1 0.750 0.750 0.750

# 2
A relaxed NdHoBeGa crystal. Source: Alexandria, functional PBE.

Computed properties:
Theoretical density ... 7.16 g/cm³
Magnetization ... 0.0 μB/f.u.
ΔH_f (0 K) ... -0.1922 eV per atom
Calculated volume ... 90 Å³/cell
Uncorrected energy ... -4.2169 eV/atom

a b c (Å): 5.029 5.029 5.029
angles (deg): 60.00 60.00 60.00
Sites, in units of the cell vectors:
Nd1 0.000 0.000 0.000
Ho1 0.500 0.500 0.500
Be1 0.250 0.250 0.250
Ga1 0.750 0.750 0.750

# 3
A relaxed Ho2BeGaNi6 crystal. Source: Alexandria, functional PBE.

Computed properties:
Theoretical density ... 8.37 g/cm³
Magnetization ... 0.0 μB/f.u.
ΔH_f (0 K) ... -0.1657 eV per atom
Calculated volume ... 151 Å³/cell
Uncorrected energy ... -5.2253 eV/atom

a b c (Å): 5.977 5.977 5.977
angles (deg): 60.00 60.00 60.00
Sites, in units of the cell vectors:
Ho1 0.250 0.250 0.250
Ho2 0.750 0.750 0.750
Be1 0.000 0.000 0.000
Ga1 0.500 0.500 0.500
Ni1 0.233 0.233 0.767
Ni2 0.233 0.767 0.233
Ni3 0.233 0.767 0.767
Ni4 0.767 0.233 0.233
Ni5 0.767 0.233 0.767
Ni6 0.767 0.767 0.233

# 4
A relaxed Ho2BeGa2Ni5 crystal. Source: Alexandria, functional PBE.

Computed properties:
Theoretical density ... 8.80 g/cm³
Magnetization ... 0.0 μB/f.u.
ΔH_f (0 K) ... -0.2807 eV per atom
Calculated volume ... 291 Å³/cell
Uncorrected energy ... -5.0649 eV/atom

a b c (Å): 9.804 9.804 3.030
angles (deg): 90.00 90.00 90.00
Sites, in units of the cell vectors:
Ho1 0.172 0.328 0.000
Ho2 0.328 0.828 0.000
Ho3 0.672 0.172 0.000
Ho4 0.828 0.672 0.000
Be1 0.000 0.000 0.000
Be2 0.500 0.500 0.000
Ga1 0.132 0.632 0.000
Ga2 0.368 0.132 0.000
Ga3 0.632 0.868 0.000
Ga4 0.868 0.368 0.000
Ni1 0.000 0.500 0.500
Ni2 0.050 0.818 0.500
Ni3 0.182 0.050 0.500
Ni4 0.318 0.550 0.500
Ni5 0.450 0.318 0.500
Ni6 0.500 0.000 0.500
Ni7 0.550 0.682 0.500
Ni8 0.682 0.450 0.500
Ni9 0.818 0.950 0.500
Ni10 0.950 0.182 0.500

# 5
A relaxed Ho2Be2GaNi5 crystal. Source: Alexandria, functional PBE.

Computed properties:
Theoretical density ... 8.76 g/cm³
Magnetization ... 0.0 μB/f.u.
ΔH_f (0 K) ... -0.4216 eV per atom
Calculated volume ... 269 Å³/cell
Uncorrected energy ... -5.2757 eV/atom

a b c (Å): 9.009 9.009 3.319
angles (deg): 90.00 90.00 90.00
Sites, in units of the cell vectors:
Ho1 0.182 0.318 0.000
Ho2 0.318 0.818 0.000
Ho3 0.682 0.182 0.000
Ho4 0.818 0.682 0.000
Be1 0.112 0.612 0.000
Be2 0.388 0.112 0.000
Be3 0.612 0.888 0.000
Be4 0.888 0.388 0.000
Ga1 0.000 0.000 0.000
Ga2 0.500 0.500 0.000
Ni1 0.000 0.500 0.500
Ni2 0.064 0.780 0.500
Ni3 0.220 0.064 0.500
Ni4 0.280 0.564 0.500
Ni5 0.436 0.280 0.500
Ni6 0.500 0.000 0.500
Ni7 0.564 0.720 0.500
Ni8 0.720 0.436 0.500
Ni9 0.780 0.936 0.500
Ni10 0.936 0.220 0.500

# 6
A relaxed Ho2BeGa3Ni4 crystal. Source: Alexandria, functional PBE.

Computed properties:
Theoretical density ... 8.36 g/cm³
Magnetization ... 0.0 μB/f.u.
ΔH_f (0 K) ... -0.4946 eV per atom
Calculated volume ... 156 Å³/cell
Uncorrected energy ... -5.0034 eV/atom

a b c (Å): 3.847 3.847 10.510
angles (deg): 90.00 90.00 90.00
Sites, in units of the cell vectors:
Ho1 0.000 0.500 0.235
Ho2 0.500 0.000 0.765
Be1 0.500 0.500 0.000
Ga1 0.000 0.000 0.000
Ga2 0.000 0.500 0.637
Ga3 0.500 0.000 0.363
Ni1 0.000 0.000 0.500
Ni2 0.000 0.500 0.868
Ni3 0.500 0.000 0.132
Ni4 0.500 0.500 0.500

# 7
A relaxed HoBe2GaPd5 crystal. Source: Alexandria, functional PBE.

Computed properties:
Theoretical density ... 9.57 g/cm³
Magnetization ... 0.0 μB/f.u.
ΔH_f (0 K) ... -0.5734 eV per atom
Calculated volume ... 136 Å³/cell
Uncorrected energy ... -5.1313 eV/atom

a b c (Å): 4.396 4.396 7.051
angles (deg): 90.00 90.00 90.00
Sites, in units of the cell vectors:
Ho1 0.000 0.000 0.000
Be1 0.500 0.500 0.336
Be2 0.500 0.500 0.664
Ga1 0.000 0.000 0.500
Pd1 0.000 0.500 0.287
Pd2 0.000 0.500 0.713
Pd3 0.500 0.000 0.287
Pd4 0.500 0.000 0.713
Pd5 0.500 0.500 0.000

# 8
A relaxed Ho2BeGaPd6 crystal. Source: Alexandria, functional PBE.

Computed properties:
Theoretical density ... 9.68 g/cm³
Magnetization ... 0.0 μB/f.u.
ΔH_f (0 K) ... -0.6864 eV per atom
Calculated volume ... 180 Å³/cell
Uncorrected energy ... -5.3930 eV/atom

a b c (Å): 5.864 5.864 7.366
angles (deg): 118.33 118.33 57.54
Sites, in units of the cell vectors:
Ho1 0.215 0.215 0.189
Ho2 0.785 0.785 0.811
Be1 0.000 0.000 0.500
Ga1 0.500 0.500 0.000
Pd1 0.235 0.734 0.268
Pd2 0.248 0.248 0.638
Pd3 0.266 0.765 0.732
Pd4 0.734 0.235 0.268
Pd5 0.752 0.752 0.362
Pd6 0.765 0.266 0.732

# 9
A relaxed HoBeGa2Pd4 crystal. Source: Alexandria, functional PBE.

Computed properties:
Theoretical density ... 9.53 g/cm³
Magnetization ... 0.0 μB/f.u.
ΔH_f (0 K) ... -0.6929 eV per atom
Calculated volume ... 129 Å³/cell
Uncorrected energy ... -5.0841 eV/atom

a b c (Å): 8.388 8.388 8.388
angles (deg): 29.76 29.76 29.76
Sites, in units of the cell vectors:
Ho1 0.000 0.000 0.000
Be1 0.500 0.500 0.500
Ga1 0.244 0.244 0.244
Ga2 0.756 0.756 0.756
Pd1 0.134 0.134 0.134
Pd2 0.404 0.404 0.404
Pd3 0.596 0.596 0.596
Pd4 0.866 0.866 0.866

# 10
A relaxed PrHoBeGa crystal. Source: Alexandria, functional PBE.

Computed properties:
Theoretical density ... 7.01 g/cm³
Magnetization ... 0.0 μB/f.u.
ΔH_f (0 K) ... -0.1784 eV per atom
Calculated volume ... 91 Å³/cell
Uncorrected energy ... -4.2060 eV/atom

a b c (Å): 5.051 5.051 5.051
angles (deg): 60.00 60.00 60.00
Sites, in units of the cell vectors:
Pr1 0.000 0.000 0.000
Ho1 0.500 0.500 0.500
Be1 0.250 0.250 0.250
Ga1 0.750 0.750 0.750

# 11
A relaxed Ho2BeGaPt6 crystal. Source: Alexandria, functional PBE.

Computed properties:
Theoretical density ... 14.30 g/cm³
Magnetization ... 0.0 μB/f.u.
ΔH_f (0 K) ... -0.8789 eV per atom
Calculated volume ... 183 Å³/cell
Uncorrected energy ... -6.0942 eV/atom

a b c (Å): 5.629 5.629 7.435
angles (deg): 112.29 112.29 60.01
Sites, in units of the cell vectors:
Ho1 0.208 0.208 0.127
Ho2 0.792 0.792 0.873
Be1 0.000 0.000 0.500
Ga1 0.500 0.500 0.000
Pt1 0.241 0.241 0.714
Pt2 0.241 0.733 0.714
Pt3 0.267 0.759 0.286
Pt4 0.733 0.241 0.714
Pt5 0.759 0.267 0.286
Pt6 0.759 0.759 0.286

# 12
A relaxed HoBeGa2Pt4 crystal. Source: Alexandria, functional PBE.

Computed properties:
Theoretical density ... 13.94 g/cm³
Magnetization ... 0.0 μB/f.u.
ΔH_f (0 K) ... -0.8511 eV per atom
Calculated volume ... 130 Å³/cell
Uncorrected energy ... -5.6662 eV/atom

a b c (Å): 8.566 8.566 8.566
angles (deg): 28.95 28.95 28.95
Sites, in units of the cell vectors:
Ho1 0.000 0.000 0.000
Be1 0.500 0.500 0.500
Ga1 0.246 0.246 0.246
Ga2 0.754 0.754 0.754
Pt1 0.137 0.137 0.137
Pt2 0.405 0.405 0.405
Pt3 0.595 0.595 0.595
Pt4 0.863 0.863 0.863